VASP calculation (PBE with a Hubbard U) on a relaxed La3Ga2FeO9 crystal.

Cell: 5.5008 5.5008 6.7451 Å, 90.00 90.00 120.00°
Last column: nearest neighbours and their distance in Å.
Fractional coordinates of all 15 atoms:
La1 0.0000 0.0000 0.0000  12 O 2.75-2.76
La2 0.3333 0.6667 0.6616  12 O 2.72-2.78
La3 0.6667 0.3333 0.3384  12 O 2.72-2.78
Ga1 0.3333 0.6667 0.1662  6 O 1.94-1.96
Ga2 0.6667 0.3333 0.8338  6 O 1.94-1.96
Fe1 0.0000 0.0000 0.5000  6 O 1.93
O1 0.0000 0.5000 0.0000  2 Ga 1.94
O2 0.1657 0.3314 0.3353  1 Fe 1.93, 1 Ga 1.96
O3 0.1657 0.8343 0.3353  1 Fe 1.93, 1 Ga 1.96
O4 0.3314 0.1657 0.6647  1 Fe 1.93, 1 Ga 1.96
O5 0.5000 0.0000 0.0000  2 Ga 1.94
O6 0.5000 0.5000 0.0000  2 Ga 1.94
O7 0.6686 0.8343 0.3353  1 Fe 1.93, 1 Ga 1.96
O8 0.8343 0.1657 0.6647  1 Fe 1.93, 1 Ga 1.96
O9 0.8343 0.6686 0.6647  1 Fe 1.93, 1 Ga 1.96

Properties
Spin magnetization   0.067 μB/atom
Energy   -7.20 eV per atom
DOS at the Fermi energy   0.00 states/eV per cell
Volume   11.78 A^3/atom